DFT (PBE+U) results for a geometry-optimized BaCoSeO structure.

The structure in extended XYZ format:
```
16
Lattice="7.337 0.000 0.000 0.000 7.284 0.000 0.000 0.000 7.030" Properties=species:S:1:pos:R:3 pbc="T T T"
Ba 0.779 1.105 0.000
Ba 2.889 1.105 3.515
Ba 4.448 6.179 0.000
Ba 6.558 6.179 3.515
Co 0.401 4.669 0.687
Co 3.267 4.669 4.202
Co 4.070 2.615 0.687
Co 6.936 2.615 4.202
Se 1.091 4.267 5.371
Se 2.577 4.267 1.856
Se 4.760 3.017 5.371
Se 6.245 3.017 1.856
O 0.465 0.955 4.430
O 3.203 0.955 0.915
O 4.133 6.329 4.430
O 6.872 6.329 0.915
```

theoretical density: 5149 kg/m³
calculated total energy: -0.194 Ha/atom